A plane-wave DFT calculation with PBE-GGA was carried out for a relaxed CePrNdAl crystal.

Unit cell a=5.439 b=5.439 c=5.439 alpha=60.00 beta=60.00 gamma=60.00
Fractional positions:
Nd: 0.500 0.500 0.500
Pr: 0.000 0.000 0.000
Al: 0.250 0.250 0.250
Ce: 0.750 0.750 0.750

## Properties
Its volume is 113.8 Å³/cell. The formation energy comes out at 0.007 eV/atom. The calculation puts the total magnetic moment at 0.00 μB per cell.